# 1
# CeCdH (PBE, optimized geometry)
# N(E_F): 4.80 states/eV per cell
# energy: -3.5535 eV/atom
# magnetic moment: 0.744 μB per formula unit
data_CeCdH
_chemical_formula_sum 'Ce1 Cd1 H1'
_cell_length_a 3.5626
_cell_length_b 3.5626
_cell_length_c 5.4414
_cell_angle_alpha 90.00
_cell_angle_beta 90.00
_cell_angle_gamma 120.00
_space_group_name_H-M_alt 'P 3 m 1'
_space_group_IT_number 156
_space_group_name_Hall 'P 3 -2"'
loop_
_atom_site_label
_atom_site_type_symbol
_atom_site_fract_x
_atom_site_fract_y
_atom_site_fract_z
Ce1 Ce 0.0000 0.0000 0.0000
Cd1 Cd 0.3333 0.6667 0.5003
H1 H 0.6667 0.3333 0.1494

---

# 2
# Ba2Tl4CdAu3 (PBE, optimized geometry)
# ΔE_f: -3.5 eV/f.u.
# N(E_F): 6.45 states/eV per cell
# magnetic moment: 0.000 μB per formula unit
data_Ba2Tl4CdAu3
_chemical_formula_sum 'Ba2 Tl4 Cd1 Au3'
_cell_length_a 4.800
_cell_length_b 4.800
_cell_length_c 12.658
_cell_angle_alpha 90.00
_cell_angle_beta 90.00
_cell_angle_gamma 90.00
_space_group_name_H-M_alt 'P -4 m 2'
_space_group_IT_number 115
_space_group_name_Hall 'P -4 -2'
loop_
_atom_site_label
_atom_site_type_symbol
_atom_site_fract_x
_atom_site_fract_y
_atom_site_fract_z
Ba1 Ba 0.000 0.500 0.246
Tl1 Tl 0.000 0.000 0.000
Tl2 Tl 0.000 0.500 0.635
Tl3 Tl 0.500 0.500 0.000
Cd1 Cd 0.000 0.000 0.500
Au1 Au 0.000 0.500 0.860
Au2 Au 0.500 0.500 0.500

---

# 3
# NaZnHF2 (PBE, optimized geometry)
# N(E_F): 0.00 states/eV per cell
# energy: -3.6156 eV/atom
# magnetic moment: 0.000 μB per formula unit
data_NaZnHF2
_chemical_formula_sum 'Na1 Zn1 H1 F2'
_cell_length_a 4.241
_cell_length_b 4.241
_cell_length_c 3.357
_cell_angle_alpha 90.00
_cell_angle_beta 90.00
_cell_angle_gamma 90.00
_space_group_name_H-M_alt 'P 4 m m'
_space_group_IT_number 99
_space_group_name_Hall 'P 4 -2'
loop_
_atom_site_label
_atom_site_type_symbol
_atom_site_fract_x
_atom_site_fract_y
_atom_site_fract_z
Na1 Na 0.000 0.000 0.000
Zn1 Zn 0.500 0.500 0.498
H1 H 0.500 0.500 0.998
F1 F 0.000 0.500 0.497

---

# 4
# MnAu2Se (PBE, optimized geometry)
# N(E_F): 3.45 states/eV per cell
# formation energy without anion corrections: 44 meV per atom
# magnetic moment: 4.474 μB per formula unit
data_MnAu2Se
_chemical_formula_sum 'Mn2 Au4 Se2'
_cell_length_a 11.327
_cell_length_b 3.500
_cell_length_c 3.949
_cell_angle_alpha 90.00
_cell_angle_beta 99.62
_cell_angle_gamma 90.00
_space_group_name_H-M_alt 'C 1 2/m 1'
_space_group_IT_number 12
_space_group_name_Hall '-C 2y'
loop_
_atom_site_label
_atom_site_type_symbol
_atom_site_fract_x
_atom_site_fract_y
_atom_site_fract_z
Mn1 Mn 0.000 0.000 0.000
Au1 Au 0.205 0.500 0.222
Se1 Se 0.000 0.500 0.500

---

# 5
# K2CdGa3Pt4 (PBE, optimized geometry)
# ΔE_f: -4.3 eV/f.u.
# N(E_F): 4.80 states/eV per cell
# magnetic moment: 0.000 μB per formula unit
data_K2CdGa3Pt4
_chemical_formula_sum 'K2 Cd1 Ga3 Pt4'
_cell_length_a 4.440
_cell_length_b 4.440
_cell_length_c 10.704
_cell_angle_alpha 90.00
_cell_angle_beta 90.00
_cell_angle_gamma 90.00
_space_group_name_H-M_alt 'P -4 m 2'
_space_group_IT_number 115
_space_group_name_Hall 'P -4 -2'
loop_
_atom_site_label
_atom_site_type_symbol
_atom_site_fract_x
_atom_site_fract_y
_atom_site_fract_z
K1 K 0.000 0.500 0.245
Cd1 Cd 0.000 0.000 0.500
Ga1 Ga 0.000 0.500 0.880
Ga2 Ga 0.500 0.500 0.500
Pt1 Pt 0.000 0.000 0.000
Pt2 Pt 0.000 0.500 0.643
Pt3 Pt 0.500 0.500 0.000

---

# 6
# KBaCr2 (PBE, optimized geometry)
# ΔE_f: 2.9 eV/f.u.
# N(E_F): 4.85 states/eV per cell
# magnetic moment: 0.219 μB per formula unit
data_KBaCr2
_chemical_formula_sum 'K1 Ba1 Cr2'
_cell_length_a 3.612
_cell_length_b 3.612
_cell_length_c 10.098
_cell_angle_alpha 90.00
_cell_angle_beta 90.00
_cell_angle_gamma 90.00
_space_group_name_H-M_alt 'P 4 m m'
_space_group_IT_number 99
_space_group_name_Hall 'P 4 -2'
loop_
_atom_site_label
_atom_site_type_symbol
_atom_site_fract_x
_atom_site_fract_y
_atom_site_fract_z
K1 K 0.000 0.000 0.000
Ba1 Ba 0.500 0.500 0.400
Cr1 Cr 0.000 0.000 0.655
Cr2 Cr 0.500 0.500 0.720

---

# 7
# LiZnFe (PBE, optimized geometry)
# ΔE_f: 0.3 eV/f.u.
# N(E_F): 2.04 states/eV per cell
# magnetic moment: 2.261 μB per formula unit
data_LiZnFe
_chemical_formula_sum 'Li1 Zn1 Fe1'
_cell_length_a 2.6071
_cell_length_b 2.6071
_cell_length_c 6.7655
_cell_angle_alpha 90.00
_cell_angle_beta 90.00
_cell_angle_gamma 120.00
_space_group_name_H-M_alt 'P 3 m 1'
_space_group_IT_number 156
_space_group_name_Hall 'P 3 -2"'
loop_
_atom_site_label
_atom_site_type_symbol
_atom_site_fract_x
_atom_site_fract_y
_atom_site_fract_z
Li1 Li 0.0000 0.0000 0.0000
Zn1 Zn 0.3333 0.6667 0.3490
Fe1 Fe 0.6667 0.3333 0.6720

---

# 8
# CaLaSc2 (PBE, optimized geometry)
# ΔE_f: 0.8 eV/f.u.
# N(E_F): 31.49 states/eV per cell
# magnetic moment: 0.000 μB per formula unit
data_CaLaSc2
_chemical_formula_sum 'Ca4 La4 Sc8'
_cell_length_a 7.906
_cell_length_b 7.906
_cell_length_c 7.906
_cell_angle_alpha 90.00
_cell_angle_beta 90.00
_cell_angle_gamma 90.00
_space_group_name_H-M_alt 'F m -3 m'
_space_group_IT_number 225
_space_group_name_Hall '-F 4 2 3'
loop_
_atom_site_label
_atom_site_type_symbol
_atom_site_fract_x
_atom_site_fract_y
_atom_site_fract_z
Ca1 Ca 0.000 0.000 0.000
La1 La 0.000 0.000 0.500
Sc1 Sc 0.250 0.250 0.250

---

# 9
# Mo5Pb3 (PBE, optimized geometry)
# ΔE_f: 5.8 eV/f.u.
# N(E_F): 10.47 states/eV per cell
# magnetic moment: 0.000 μB per formula unit
data_Mo5Pb3
_chemical_formula_sum 'Mo10 Pb6'
_cell_length_a 8.7349
_cell_length_b 8.7349
_cell_length_c 4.9920
_cell_angle_alpha 90.00
_cell_angle_beta 90.00
_cell_angle_gamma 120.00
_space_group_name_H-M_alt 'P 63/m c m'
_space_group_IT_number 193
_space_group_name_Hall '-P 6c 2'
loop_
_atom_site_label
_atom_site_type_symbol
_atom_site_fract_x
_atom_site_fract_y
_atom_site_fract_z
Mo1 Mo 0.0000 0.1689 0.2500
Mo2 Mo 0.3333 0.6667 0.0000
Pb1 Pb 0.0000 0.3854 0.7500

---

# 10
# CaScI2N (PBE, optimized geometry)
# N(E_F): 1.64 states/eV per cell
# formation energy without anion corrections: -686 meV per atom
# magnetic moment: 0.000 μB per formula unit
data_CaScI2N
_chemical_formula_sum 'Ca1 Sc1 I2 N1'
_cell_length_a 5.946
_cell_length_b 5.946
_cell_length_c 3.987
_cell_angle_alpha 90.00
_cell_angle_beta 90.00
_cell_angle_gamma 90.00
_space_group_name_H-M_alt 'P 4/m m m'
_space_group_IT_number 123
_space_group_name_Hall '-P 4 2'
loop_
_atom_site_label
_atom_site_type_symbol
_atom_site_fract_x
_atom_site_fract_y
_atom_site_fract_z
Ca1 Ca 0.000 0.000 0.000
Sc1 Sc 0.500 0.500 0.500
I1 I 0.000 0.500 0.500
N1 N 0.500 0.500 0.000

---

# 11
# SiAs2Pd2 (PBE, optimized geometry)
# N(E_F): 5.60 states/eV per cell
# formation energy without anion corrections: 122 meV per atom
# magnetic moment: 0.000 μB per formula unit
data_SiAs2Pd2
_chemical_formula_sum 'Si2 As4 Pd4'
_cell_length_a 4.016
_cell_length_b 4.016
_cell_length_c 11.379
_cell_angle_alpha 90.00
_cell_angle_beta 90.00
_cell_angle_gamma 90.00
_space_group_name_H-M_alt 'I 4/m m m'
_space_group_IT_number 139
_space_group_name_Hall '-I 4 2'
loop_
_atom_site_label
_atom_site_type_symbol
_atom_site_fract_x
_atom_site_fract_y
_atom_site_fract_z
Si1 Si 0.000 0.000 0.000
As1 As 0.000 0.000 0.390
Pd1 Pd 0.000 0.500 0.250

---

# 12
# NiSnBi (PBE, optimized geometry)
# ΔE_f: 0.0 eV/f.u.
# N(E_F): 1.40 states/eV per cell
# magnetic moment: 0.000 μB per formula unit
data_NiSnBi
_chemical_formula_sum 'Ni1 Sn1 Bi1'
_cell_length_a 3.7378
_cell_length_b 3.7378
_cell_length_c 5.7243
_cell_angle_alpha 90.00
_cell_angle_beta 90.00
_cell_angle_gamma 120.00
_space_group_name_H-M_alt 'P 3 m 1'
_space_group_IT_number 156
_space_group_name_Hall 'P 3 -2"'
loop_
_atom_site_label
_atom_site_type_symbol
_atom_site_fract_x
_atom_site_fract_y
_atom_site_fract_z
Ni1 Ni 0.0000 0.0000 0.0000
Sn1 Sn 0.6667 0.3333 0.2515
Bi1 Bi 0.3333 0.6667 0.7203

---

# 13
# Zr2Ga2Ir (PBE, optimized geometry)
# ΔE_f: -3.6 eV/f.u.
# N(E_F): 7.51 states/eV per cell
# magnetic moment: 0.000 μB per formula unit
data_Zr2Ga2Ir
_chemical_formula_sum 'Zr4 Ga4 Ir2'
_cell_length_a 6.638
_cell_length_b 6.638
_cell_length_c 4.048
_cell_angle_alpha 90.00
_cell_angle_beta 90.00
_cell_angle_gamma 90.00
_space_group_name_H-M_alt 'P 4/m b m'
_space_group_IT_number 127
_space_group_name_Hall '-P 4 2ab'
loop_
_atom_site_label
_atom_site_type_symbol
_atom_site_fract_x
_atom_site_fract_y
_atom_site_fract_z
Zr1 Zr 0.173 0.327 0.000
Ga1 Ga 0.133 0.633 0.500
Ir1 Ir 0.000 0.000 0.500

---

# 14
# BeBO3 (PBE, optimized geometry)
# formation energy without anion corrections: -1828 meV per atom
# magnetic moment: 0.000 μB per formula unit
data_BeBO3
_chemical_formula_sum 'Be4 B4 O12'
_cell_length_a 4.159
_cell_length_b 7.266
_cell_length_c 4.798
_cell_angle_alpha 90.00
_cell_angle_beta 90.00
_cell_angle_gamma 90.00
_space_group_name_H-M_alt 'P n m a'
_space_group_IT_number 62
_space_group_name_Hall '-P 2ac 2n'
loop_
_atom_site_label
_atom_site_type_symbol
_atom_site_fract_x
_atom_site_fract_y
_atom_site_fract_z
Be1 Be 0.000 0.000 0.000
B1 B 0.045 0.250 0.415
O1 O 0.162 0.096 0.579
O2 O 0.187 0.250 0.126

---

# 15
# YHgPb2 (PBE, optimized geometry)
# ΔE_f: -0.8 eV/f.u.
# N(E_F): 3.94 states/eV per cell
# magnetic moment: 0.000 μB per formula unit
data_YHgPb2
_chemical_formula_sum 'Y2 Hg2 Pb4'
_cell_length_a 6.608
_cell_length_b 11.064
_cell_length_c 3.585
_cell_angle_alpha 90.00
_cell_angle_beta 119.62
_cell_angle_gamma 90.00
_space_group_name_H-M_alt 'C 1 2/m 1'
_space_group_IT_number 12
_space_group_name_Hall '-C 2y'
loop_
_atom_site_label
_atom_site_type_symbol
_atom_site_fract_x
_atom_site_fract_y
_atom_site_fract_z
Y1 Y 0.000 0.000 0.000
Hg1 Hg 0.000 0.500 0.000
Pb1 Pb 0.250 0.250 0.500

---

# 16
# AcTaMnGe2 (PBE, optimized geometry)
# ΔE_f: -1.9 eV/f.u.
# N(E_F): 7.74 states/eV per cell
# magnetic moment: 2.466 μB per formula unit
data_AcTaMnGe2
_chemical_formula_sum 'Ac2 Ta2 Mn2 Ge4'
_cell_length_a 4.166
_cell_length_b 4.166
_cell_length_c 12.239
_cell_angle_alpha 90.00
_cell_angle_beta 90.00
_cell_angle_gamma 90.00
_space_group_name_H-M_alt 'I -4 m 2'
_space_group_IT_number 119
_space_group_name_Hall 'I -4 -2'
loop_
_atom_site_label
_atom_site_type_symbol
_atom_site_fract_x
_atom_site_fract_y
_atom_site_fract_z
Ac1 Ac 0.000 0.000 0.000
Ta1 Ta 0.000 0.500 0.750
Mn1 Mn 0.000 0.500 0.250
Ge1 Ge 0.000 0.000 0.379

---

# 17
# La3Nd6Mg (PBE, optimized geometry)
# ΔE_f: 1.1 eV/f.u.
# N(E_F): 50.20 states/eV per cell
# magnetic moment: 0.000 μB per formula unit
data_La3Nd6Mg
_chemical_formula_sum 'La12 Nd24 Mg4'
_cell_length_a 13.456
_cell_length_b 16.040
_cell_length_c 6.548
_cell_angle_alpha 90.00
_cell_angle_beta 90.00
_cell_angle_gamma 90.00
_space_group_name_H-M_alt 'C m c 21'
_space_group_IT_number 36
_space_group_name_Hall 'C 2c -2'
loop_
_atom_site_label
_atom_site_type_symbol
_atom_site_fract_x
_atom_site_fract_y
_atom_site_fract_z
La1 La 0.000 0.145 0.000
La2 La 0.199 0.414 0.344
Nd1 Nd 0.000 0.248 0.499
Nd2 Nd 0.000 0.450 0.658
Nd3 Nd 0.120 0.054 0.502
Nd4 Nd 0.215 0.304 0.807
Mg1 Mg 0.000 0.347 0.070

---

# 18
# Na3Mg3Pb8 (PBE, optimized geometry)
# ΔE_f: -0.9 eV/f.u.
# N(E_F): 12.48 states/eV per cell
# magnetic moment: 0.000 μB per formula unit
data_Na3Mg3Pb8
_chemical_formula_sum 'Na6 Mg6 Pb16'
_cell_length_a 4.960
_cell_length_b 11.946
_cell_length_c 14.243
_cell_angle_alpha 90.00
_cell_angle_beta 90.00
_cell_angle_gamma 90.00
_space_group_name_H-M_alt 'I m m m'
_space_group_IT_number 71
_space_group_name_Hall '-I 2 2'
loop_
_atom_site_label
_atom_site_type_symbol
_atom_site_fract_x
_atom_site_fract_y
_atom_site_fract_z
Na1 Na 0.000 0.000 0.000
Na2 Na 0.000 0.000 0.275
Mg1 Mg 0.000 0.147 0.500
Mg2 Mg 0.000 0.500 0.000
Pb1 Pb 0.000 0.307 0.146
Pb2 Pb 0.000 0.362 0.375

---

# 19
# BaB3Ir (PBE, optimized geometry)
# ΔE_f: 2.0 eV/f.u.
# N(E_F): 2.59 states/eV per cell
# magnetic moment: 0.000 μB per formula unit
data_BaB3Ir
_chemical_formula_sum 'Ba1 B3 Ir1'
_cell_length_a 4.244
_cell_length_b 4.244
_cell_length_c 4.244
_cell_angle_alpha 90.00
_cell_angle_beta 90.00
_cell_angle_gamma 90.00
_space_group_name_H-M_alt 'P m -3 m'
_space_group_IT_number 221
_space_group_name_Hall '-P 4 2 3'
loop_
_atom_site_label
_atom_site_type_symbol
_atom_site_fract_x
_atom_site_fract_y
_atom_site_fract_z
Ba1 Ba 0.000 0.000 0.000
B1 B 0.000 0.500 0.500
Ir1 Ir 0.500 0.500 0.500

---

# 20
# RbFeCo (PBE, optimized geometry)
# ΔE_f: 1.7 eV/f.u.
# N(E_F): 7.29 states/eV per cell
# magnetic moment: 4.183 μB per formula unit
data_RbFeCo
_chemical_formula_sum 'Rb2 Fe2 Co2'
_cell_length_a 4.604
_cell_length_b 4.608
_cell_length_c 10.502
_cell_angle_alpha 85.77
_cell_angle_beta 86.51
_cell_angle_gamma 64.18
_space_group_name_H-M_alt 'P 1'
_space_group_IT_number 1
_space_group_name_Hall 'P 1'
loop_
_atom_site_label
_atom_site_type_symbol
_atom_site_fract_x
_atom_site_fract_y
_atom_site_fract_z
Rb1 Rb 0.000 0.000 0.000
Rb2 Rb 0.446 0.413 0.565
Fe1 Fe 0.478 0.464 0.239
Fe2 Fe 0.971 0.952 0.325
Co1 Co 0.475 0.958 0.282
Co2 Co 0.974 0.458 0.283